DFT (PBE) results for a geometry-optimized LaAl2Pd2Pt structure.

N(E_F): 2.5 states/eV/cell
Space group: P4/mmm, No. 123
ΔH_f (0 K): -0.7110 eV per atom

a b c (Å): 4.720 4.720 5.656
angles (deg): 90.00 90.00 90.00
Atoms (fractional coordinates):
La1 0.000 0.000 0.000
Al1 0.000 0.500 0.500
Al2 0.500 0.000 0.500
Pd1 0.500 0.500 0.246
Pd2 0.500 0.500 0.754
Pt1 0.000 0.000 0.500